[1]
First-principles (PBE) data for a relaxed structure of ZnCu2Au, as listed in the Alexandria database.

CIF file:
```
data_ZnCu2Au
_chemical_formula_sum 'Zn2 Cu4 Au2'
_cell_length_a 8.796
_cell_length_b 2.854
_cell_length_c 4.632
_cell_angle_alpha 90.00
_cell_angle_beta 101.63
_cell_angle_gamma 90.00
_symmetry_space_group_name_H-M 'C 1 m 1'
_symmetry_Int_Tables_number 8
_symmetry_space_group_name_Hall 'C -2y'
loop_
_atom_site_label
_atom_site_fract_x
_atom_site_fract_y
_atom_site_fract_z
_atom_site_occupancy
Zn1 0.000 0.000 0.000 1
Cu1 0.009 0.500 0.533 1
Cu2 0.253 0.000 0.761 1
Au1 0.255 0.500 0.266 1
```

=====

[2]
First-principles (PBE) data for a relaxed structure of AcYMgHg, as listed in the Alexandria database.

Calculated values
ΔE to the lowest computed polymorph: 0.0 meV per atom

CIF file:
```
data_AcYMgHg
_chemical_formula_sum 'Ac1 Y1 Mg1 Hg1'
_cell_length_a 3.891
_cell_length_b 3.891
_cell_length_c 7.963
_cell_angle_alpha 90.00
_cell_angle_beta 90.00
_cell_angle_gamma 90.00
_symmetry_space_group_name_H-M 'P 4 m m'
_symmetry_Int_Tables_number 99
_symmetry_space_group_name_Hall 'P 4 -2'
loop_
_atom_site_label
_atom_site_fract_x
_atom_site_fract_y
_atom_site_fract_z
_atom_site_occupancy
Ac1 0.000 0.000 0.000 1
Y1 0.000 0.000 0.489 1
Mg1 0.500 0.500 0.716 1
Hg1 0.500 0.500 0.289 1
```

=====

Energy relative to the elements list, top to bottom, in eV/f.u.: -0.29, -1.10